Entry from the Alexandria database: K3NbCr3O8 after structural relaxation (PBE+U).

Values from the calculation:
V: 13.90 A^3/atom
total DFT energy (no corrections): -6.967 eV per atom
symmetry: R-3m
magnetization: 10.00 μB/cell

a = 6.2438 Å, b = 6.2478 Å, c = 7.1500 Å
α = 115.94°, β = 90.00°, γ = 119.98°
Last column: nearest neighbours and their distance in Å.
Element x y z (fractional)
1 K 0.0000 0.0000 0.0000  6 O 2.73
2 K 0.0000 0.5000 0.0000  6 O 2.73
3 K 0.5000 0.5000 0.0000  6 O 2.73
4 Nb 0.0000 0.0000 0.5000  6 O 2.07
5 Cr 0.5000 0.0000 0.5000  6 O 2.08
6 Cr 0.5000 0.5000 0.5000  6 O 2.08-2.09
7 Cr 0.0000 0.5000 0.5000  6 O 2.08-2.09
8 O 0.2779 0.5557 0.3326  3 Cr 2.08
9 O 0.7221 0.4443 0.6674  3 Cr 2.08
10 O 0.7782 0.5565 0.3321  1 Nb 2.07, 2 Cr 2.08
11 O 0.2218 0.4435 0.6679  1 Nb 2.07, 2 Cr 2.08
12 O 0.7784 0.0536 0.3321  1 Nb 2.07, 2 Cr 2.08-2.09
13 O 0.2216 0.9464 0.6679  1 Nb 2.07, 2 Cr 2.08-2.09
14 O 0.2752 0.0536 0.3321  1 Nb 2.07, 2 Cr 2.08-2.09
15 O 0.7248 0.9464 0.6679  1 Nb 2.07, 2 Cr 2.08-2.09